! NaNpGe4, relaxed, DFT PBE; values from VASP
&SYSTEM
  ibrav = 0, nat = 6, ntyp = 3
/
ATOMIC_SPECIES
Na 22.99 Na.upf
Np 237.00 Np.upf
Ge 72.64 Ge.upf
CELL_PARAMETERS angstrom
0.000 3.940 3.940
3.940 0.000 3.940
3.940 3.940 0.000
ATOMIC_POSITIONS crystal
Na 0.000 0.000 0.000
Np 0.250 0.250 0.250
Ge 0.127 0.624 0.624
Ge 0.624 0.127 0.624
Ge 0.624 0.624 0.127
Ge 0.624 0.624 0.624
! Total energy ... -5.437 eV per atom
! Formation energy from the elements ... 0.02 eV/atom
! Space group ... F-43m (216)